Record 1
Entry from Alexandria via LeMat-Bulk: an optimized crystal structure of Li5Bi4Pt (PBE-GGA).

Cell lengths 3.450, 3.450, 18.007 Å; angles 90.00, 90.00, 90.00 degrees
Element x y z (fractional)
Li 0.500 0.500 0.066
Li 0.500 0.500 0.274
Li 0.500 0.500 0.500
Li 0.500 0.500 0.726
Li 0.500 0.500 0.934
Bi 0.000 0.000 0.160
Bi 0.000 0.000 0.385
Bi 0.000 0.000 0.615
Bi 0.000 0.000 0.840
Pt 0.000 0.000 0.000

Values from the calculation:
For the formation enthalpy at 0 K, the calculation gives -4.01 eV/f.u. As for the raw total energy: -3.5140 eV/atom. As for the space group: P4/mmm, No. 123. As for the total moment: 0.0000 μB/atom. The calculation puts the density at 8.255 g/cm3.

Record 2
Entry from Alexandria via LeMat-Bulk: an optimized crystal structure of TlNiTe (PBE-GGA).

Cell lengths 4.122, 9.824, 8.048 Å; angles 96.56, 90.00, 90.00 degrees
Element x y z (fractional)
Tl 0.250 0.689 0.921
Tl 0.250 0.189 0.421
Tl 0.750 0.811 0.579
Tl 0.750 0.311 0.079
Ni 0.250 0.320 0.780
Ni 0.750 0.680 0.220
Ni 0.250 0.820 0.280
Ni 0.750 0.180 0.720
Te 0.250 0.063 0.803
Te 0.250 0.563 0.303
Te 0.750 0.437 0.697
Te 0.750 0.937 0.197

Values from the calculation:
As for the raw total energy: -3.8778 eV/atom. As for the space group: P2_1/m, No. 11. As for the total moment: 0.0000 μB/atom. The value obtained for the uncorrected formation energy is -0.34 eV per formula unit. The calculation puts the density at 8.015 g/cm3.